A crystal of Ta3I7 relaxed with PBEsol, computed with meta-GGA SCAN.

abc: 10.464 10.464 12.487
angles: 90.00 90.00 89.04
Fractional coordinates of all 40 atoms:
1 Ta 0.051 0.158 0.893
2 Ta 0.103 0.897 0.929
3 Ta 0.158 0.051 0.107
4 Ta 0.342 0.449 0.607
5 Ta 0.397 0.603 0.429
6 Ta 0.449 0.342 0.393
7 Ta 0.551 0.658 0.607
8 Ta 0.603 0.397 0.571
9 Ta 0.658 0.551 0.393
10 Ta 0.842 0.949 0.893
11 Ta 0.897 0.103 0.071
12 Ta 0.949 0.842 0.107
13 I 0.027 0.220 0.240
14 I 0.102 0.650 0.015
15 I 0.111 0.389 0.750
16 I 0.133 0.867 0.267
17 I 0.150 0.602 0.515
18 I 0.220 0.027 0.760
19 I 0.240 0.240 0.500
20 I 0.260 0.260 0.000
21 I 0.280 0.473 0.260
22 I 0.350 0.898 0.015
23 I 0.367 0.633 0.767
24 I 0.389 0.111 0.250
25 I 0.398 0.850 0.515
26 I 0.473 0.280 0.740
27 I 0.527 0.720 0.260
28 I 0.602 0.150 0.485
29 I 0.611 0.889 0.750
30 I 0.633 0.367 0.233
31 I 0.650 0.102 0.985
32 I 0.720 0.527 0.740
33 I 0.740 0.740 0.000
34 I 0.760 0.760 0.500
35 I 0.780 0.973 0.240
36 I 0.850 0.398 0.485
37 I 0.867 0.133 0.733
38 I 0.889 0.611 0.250
39 I 0.898 0.350 0.985
40 I 0.973 0.780 0.760

## Properties
ΔE_f (raw) ... -0.4564 eV/atom
Symmetry ... Cmce (64)


A crystal of NaNdF4 relaxed with PBEsol, computed with meta-GGA SCAN.

abc: 6.105 6.105 7.274
angles: 90.00 90.00 120.00
Fractional coordinates of all 18 atoms:
1 Na 0.000 0.000 0.000
2 Na 0.333 0.667 0.207
3 Na 0.333 0.667 0.793
4 Nd 0.000 0.000 0.500
5 Nd 0.667 0.333 0.246
6 Nd 0.667 0.333 0.754
7 F 0.016 0.744 0.260
8 F 0.016 0.744 0.740
9 F 0.256 0.273 0.260
10 F 0.256 0.273 0.740
11 F 0.421 0.061 0.500
12 F 0.437 0.045 0.000
13 F 0.608 0.563 0.000
14 F 0.640 0.579 0.500
15 F 0.727 0.984 0.260
16 F 0.727 0.984 0.740
17 F 0.939 0.360 0.500
18 F 0.955 0.392 0.000

## Properties
ΔE_f (raw) ... -3.9349 eV/atom
Symmetry ... P-6 (174)


A crystal of Na2CaAsW relaxed with PBEsol, computed with meta-GGA SCAN.

abc: 5.350 5.350 5.574
angles: 90.00 90.00 90.00
Fractional coordinates of all 5 atoms:
1 Na 0.000 0.500 0.000
2 Na 0.500 0.000 0.000
3 Ca 0.000 0.000 0.500
4 As 0.000 0.000 0.000
5 W 0.500 0.500 0.500

## Properties
Symmetry ... P4/mmm (123)
Energy of formation from the pure elements ... 0.912 eV/atom